(1)
The following is a GGA-PBE calculation of a relaxed LiCCl3 crystal, from Alexandria via LeMat-Bulk.

* E_form (uncorrected): 5.2 eV per formula unit
* symmetry: Pm-3m
* energy relative to the lowest polymorph listed for this composition: 759 meV per atom
* crystal system: cubic
* final energy: -2.302 eV per atom
* N(E_F): 5.22 states/eV/f.u.

abc: 4.623 4.623 4.623
angles: 90.00 90.00 90.00
Positions (direct):
1 C 0.500 0.500 0.500
2 Li 0.000 0.000 0.000
3 Cl 0.000 0.500 0.000
4 Cl 0.000 0.000 0.500
5 Cl 0.500 0.000 0.000

(2)
The following is a GGA-PBE calculation of a relaxed TbNd2Sm crystal, from Alexandria via LeMat-Bulk.

* symmetry: P4/mmm
* energy relative to the lowest polymorph listed for this composition: 98 meV per atom
* crystal system: tetragonal
* final energy: -4.611 eV per atom
* N(E_F): 8.56 states/eV/f.u.
* ΔE_f: 110 meV/atom

abc: 4.273 4.273 7.470
angles: 90.00 90.00 90.00
Positions (direct):
1 Nd 0.000 0.000 0.753
2 Nd 0.000 0.000 0.247
3 Tb 0.500 0.500 0.000
4 Sm 0.500 0.500 0.500

(3)
The following is a GGA-PBE calculation of a relaxed Rb2Al2Au crystal, from Alexandria via LeMat-Bulk.

* symmetry: I4/mmm
* energy relative to the lowest polymorph listed for this composition: 596 meV per atom
* crystal system: tetragonal
* final energy: -1.858 eV per atom
* N(E_F): 3.73 states/eV/f.u.
* ΔE_f: 682 meV/atom

abc: 4.798 4.798 8.535
angles: 73.67 73.67 90.00
Positions (direct):
1 Au 0.000 0.000 0.000
2 Al 0.421 0.421 0.158
3 Al 0.579 0.579 0.842
4 Rb 0.750 0.250 0.500
5 Rb 0.250 0.750 0.500

(4)
The following is a GGA-PBE calculation of a relaxed KBeN2 crystal, from Alexandria via LeMat-Bulk.

* E_form (uncorrected): 4.3 eV per formula unit
* symmetry: R-3m
* crystal system: trigonal
* final energy: -4.296 eV per atom
* N(E_F): 2.16 states/eV/f.u.

abc: 6.610 6.610 6.610
angles: 26.34 26.34 26.34
Positions (direct):
1 Be 0.500 0.500 0.500
2 K 0.000 0.000 0.000
3 N 0.872 0.872 0.872
4 N 0.128 0.128 0.128

(5)
The following is a GGA-PBE calculation of a relaxed Tm2AlCr crystal, from Alexandria via LeMat-Bulk.

* symmetry: Fm-3m
* crystal system: cubic
* final energy: -5.618 eV per atom
* N(E_F): 2.68 states/eV/f.u.
* ΔE_f: -40 meV/atom

abc: 5.025 5.025 5.025
angles: 60.00 60.00 60.00
Last column: magnetic moment on the atom in μB.
Positions (direct):
1 Cr 0.000 0.000 0.000  3.47
2 Tm 0.250 0.250 0.250  0.03
3 Tm 0.750 0.750 0.750  0.03
4 Al 0.500 0.500 0.500  -0.03

(6)
The following is a GGA-PBE calculation of a relaxed Ni5Pt crystal, from Alexandria via LeMat-Bulk.

* symmetry: Amm2
* crystal system: orthorhombic
* final energy: -5.817 eV per atom
* N(E_F): 12.20 states/eV/f.u.
* ΔE_f: 8 meV/atom

abc: 2.607 6.693 4.161
angles: 90.00 90.00 78.77
Last column: magnetic moment on the atom in μB.
Positions (direct):
1 Ni 0.006 0.987 0.000  0.72
2 Ni 0.667 0.666 0.000  0.73
3 Ni 0.329 0.342 0.000  0.66
4 Ni 0.559 0.881 0.500  0.63
5 Ni 0.216 0.568 0.500  0.62
6 Pt 0.888 0.223 0.500  0.27

(7)
The following is a GGA-PBE calculation of a relaxed AcTaGa crystal, from Alexandria via LeMat-Bulk.

* symmetry: P4/mmm
* crystal system: tetragonal
* final energy: -6.234 eV per atom
* N(E_F): 3.69 states/eV/f.u.
* ΔE_f: 95 meV/atom

abc: 5.107 3.612 11.734
angles: 90.00 90.00 134.99
Positions (direct):
1 Ga 0.695 0.389 0.000
2 Ga 0.194 0.389 0.500
3 Ta 0.694 0.389 0.395
4 Ta 0.694 0.389 0.605
5 Ac 0.194 0.389 0.802
6 Ac 0.194 0.389 0.198

(8)
The following is a GGA-PBE calculation of a relaxed CsPbSe2O6 crystal, from Alexandria via LeMat-Bulk.

* E_form (uncorrected): -10.2 eV per formula unit
* symmetry: C2/c
* crystal system: monoclinic
* final energy: -5.151 eV per atom
* N(E_F): 4.06 states/eV/f.u.

abc: 7.323 7.323 7.602
angles: 101.71 101.71 98.17
Positions (direct):
1 Cs 0.177 0.823 0.250
2 Cs 0.823 0.177 0.750
3 Pb 0.577 0.423 0.250
4 Pb 0.423 0.577 0.750
5 Se 0.317 0.075 0.830
6 Se 0.925 0.683 0.670
7 Se 0.683 0.925 0.170
8 Se 0.075 0.317 0.330
9 O 0.913 0.458 0.259
10 O 0.542 0.087 0.241
11 O 0.087 0.542 0.741
12 O 0.458 0.913 0.759
13 O 0.108 0.197 0.129
14 O 0.803 0.892 0.371
15 O 0.892 0.803 0.871
16 O 0.197 0.108 0.629
17 O 0.303 0.477 0.412
18 O 0.523 0.697 0.088
19 O 0.697 0.523 0.588
20 O 0.477 0.303 0.912

(9)
The following is a GGA-PBE calculation of a relaxed Ta2VGe6 crystal, from Alexandria via LeMat-Bulk.

* symmetry: C222
* crystal system: orthorhombic
* final energy: -6.925 eV per atom
* N(E_F): 4.07 states/eV/f.u.
* ΔE_f: -200 meV/atom

abc: 4.930 4.960 6.751
angles: 90.00 90.00 119.80
Positions (direct):
1 Ta 0.000 0.500 0.663
2 Ta 0.500 0.500 0.337
3 V 0.500 0.000 0.000
4 Ge 0.835 0.669 0.000
5 Ge 0.330 0.160 0.673
6 Ge 0.829 0.160 0.327
7 Ge 0.165 0.331 0.000
8 Ge 0.670 0.840 0.673
9 Ge 0.171 0.840 0.327

(10)
The following is a GGA-PBE calculation of a relaxed HgMoOsSe2 crystal, from Alexandria via LeMat-Bulk.

* E_form (uncorrected): 7.1 eV per formula unit
* symmetry: P4/mmm
* crystal system: tetragonal
* final energy: -4.455 eV per atom
* N(E_F): 5.55 states/eV/f.u.

abc: 4.789 5.516 4.789
angles: 90.00 90.00 90.00
Last column: magnetic moment on the atom in μB.
Positions (direct):
1 Mo 0.000 0.000 0.000  0.17
2 Os 0.500 0.500 0.500  3.09
3 Hg 0.000 0.500 0.000  0.03
4 Se 0.000 0.000 0.500  0.09
5 Se 0.500 0.000 0.000  0.02

(11)
The following is a GGA-PBE calculation of a relaxed LaCrH2N crystal, from Alexandria via LeMat-Bulk.

* symmetry: P4/mmm
* crystal system: tetragonal
* final energy: -6.554 eV per atom
* N(E_F): 2.78 states/eV/f.u.

abc: 3.735 3.735 3.838
angles: 90.00 90.00 90.00
Last column: magnetic moment on the atom in μB.
Positions (direct):
1 Cr 0.000 0.000 0.000  1.08
2 N 0.000 0.000 0.500  -0.04
3 H 0.000 0.500 0.000  -0.01
4 H 0.500 0.000 0.000  -0.01
5 La 0.500 0.500 0.500  -0.01

(12)
The following is a GGA-PBE calculation of a relaxed Sr2SnBr crystal, from Alexandria via LeMat-Bulk.

* E_form (uncorrected): -4.2 eV per formula unit
* symmetry: P4/mmm
* energy relative to the lowest polymorph listed for this composition: 88 meV per atom
* crystal system: tetragonal
* final energy: -3.309 eV per atom
* N(E_F): 1.55 states/eV/f.u.

abc: 3.760 5.934 5.934
angles: 90.00 90.00 90.00
Positions (direct):
1 Sr 0.000 0.000 0.500
2 Sr 0.000 0.500 0.000
3 Sn 0.500 0.500 0.500
4 Br 0.500 0.000 0.000

(13)
The following is a GGA-PBE calculation of a relaxed Nd3TmSe4 crystal, from Alexandria via LeMat-Bulk.

* E_form (uncorrected): -14.3 eV per formula unit
* symmetry: Cmmm
* energy relative to the lowest polymorph listed for this composition: 5 meV per atom
* crystal system: orthorhombic
* final energy: -5.879 eV per atom
* N(E_F): 4.60 states/eV/f.u.

abc: 4.110 7.283 7.283
angles: 108.61 90.00 90.00
Positions (direct):
1 Nd 0.000 0.000 0.500
2 Nd 0.500 0.500 0.500
3 Nd 0.000 0.500 0.000
4 Tm 0.500 0.000 0.000
5 Se 0.000 0.236 0.236
6 Se 0.500 0.757 0.243
7 Se 0.000 0.764 0.764
8 Se 0.500 0.243 0.757